No. 1
DFT (GGA-PBE) results for a relaxed structure of Pu4ZnTc2.

Lattice parameters (Å, degrees): 7.349 7.349 7.349 109.72 109.72 108.97
Sites, in units of the cell vectors:
Pu 0.142 0.735 0.739
Pu 0.153 0.246 0.761
Pu 0.265 0.004 0.407
Pu 0.485 0.392 0.239
Pu 0.597 0.858 0.593
Pu 0.608 0.847 0.093
Pu 0.754 0.515 0.907
Pu 0.996 0.403 0.261
Zn 0.000 0.000 0.000
Zn 0.750 0.250 0.500
Tc 0.199 0.625 0.074
Tc 0.375 0.449 0.574
Tc 0.551 0.125 0.926
Tc 0.875 0.801 0.426

Properties
theoretical density = 13.5 g cm⁻³
calculated total energy = -11.20 eV/atom
formation energy from the elements = 0.138 eV per atom
size of the total moment = 2.79 μB/atom
space group = I-42d (122)

=====

No. 2
DFT (GGA-PBE) results for a relaxed structure of PrInAu.

Lattice parameters (Å, degrees): 7.870 7.870 4.227 90.00 90.00 120.00
Sites, in units of the cell vectors:
Pr 0.000 0.589 0.000
Pr 0.411 0.411 0.000
Pr 0.589 0.000 0.000
In 0.000 0.252 0.500
In 0.252 0.000 0.500
In 0.748 0.748 0.500
Au 0.000 0.000 0.000
Au 0.333 0.667 0.500
Au 0.667 0.333 0.500

Properties
theoretical density = 9.9 g cm⁻³
calculated total energy = -4.33 eV/atom
formation energy from the elements = -0.727 eV per atom
size of the total moment = 0.00 μB/atom
space group = P-62m (189)

=====

No. 3
DFT (GGA-PBE) results for a relaxed structure of InPS2O.

Lattice parameters (Å, degrees): 4.343 4.343 4.325 90.00 90.00 90.00
Sites, in units of the cell vectors:
In 0.000 0.000 0.000
P 0.500 0.500 0.000
S 0.000 0.500 0.500
S 0.500 0.000 0.500
O 0.500 0.500 0.500

Properties
theoretical density = 4.6 g cm⁻³
calculated total energy = -3.71 eV/atom
size of the total moment = 0.00 μB/atom
formation energy (no corrections) = 558 meV per atom
space group = P4/mmm (123)